Here is an optimized crystal structure of Pm3Tm6Pb from Alexandria via LeMat-Bulk. Energies are from PBE-GGA.

The calculation puts the total moment at 0.00 μB per cell. Its total DFT energy (no corrections) is -4.3244 eV per atom. The formation energy comes out at 0.1545 eV per atom. As for the density of states at the Fermi level: 10.14 states/eV/f.u.

It has space group Cmc2_1 (No. 36), with a = 11.634 Å, b = 14.485 Å, c = 7.683 Å, α = 90.00°, β = 90.00° and γ = 90.00°. Symmetry generates all atoms from Pm at (0.000, 0.124, 0.000), Pm at (0.142, 0.352, 0.075), Tm at (0.000, 0.126, 0.518), Tm at (0.000, 0.471, 0.394), Tm at (0.207, 0.311, 0.468), Tm at (0.209, 0.021, 0.266) and Pb at (0.000, 0.327, 0.727).

Here is an optimized crystal structure of Tl9CdIn2 from Alexandria via LeMat-Bulk. Energies are from PBE-GGA.

The calculation puts the total moment at 0.00 μB per cell. Its total DFT energy (no corrections) is -2.2651 eV per atom. The formation energy comes out at 0.0423 eV per atom. As for the density of states at the Fermi level: 7.62 states/eV/f.u.

It has space group P4/mmm (No. 123), with a = 5.156 Å, b = 5.156 Å, c = 13.414 Å, α = 90.00°, β = 90.00° and γ = 90.00°. Symmetry generates all atoms from Tl at (0.000, 0.000, 0.000), Tl at (0.000, 0.000, 0.332), Tl at (0.000, 0.500, 0.165), Tl at (0.000, 0.500, 0.500), Cd at (0.500, 0.500, 0.000) and In at (0.500, 0.500, 0.333).

Here is an optimized crystal structure of NbOsRu3 from Alexandria via LeMat-Bulk. Energies are from PBE-GGA.

The calculation puts the total moment at 0.00 μB per cell. Its total DFT energy (no corrections) is -9.8391 eV per atom. The polymorph energy (0 for the lowest one) comes out at 0.0000 eV/atom. The formation energy comes out at -0.0137 eV per atom. As for the density of states at the Fermi level: 4.89 states/eV/f.u.

It has space group P-1 (No. 2), with a = 4.795 Å, b = 5.495 Å, c = 6.187 Å, α = 77.35°, β = 75.26° and γ = 73.07°. Symmetry generates all atoms from Nb at (0.105, 0.169, 0.293), Os at (0.291, 0.957, 0.898), Ru at (0.101, 0.664, 0.291), Ru at (0.326, 0.445, 0.891) and Ru at (0.494, 0.260, 0.510).